# 1
Entry from the Alexandria database: a geometry-optimized AcPrAgGe structure (GGA-PBE).

Calculated volume (Å³ per cell): 113.0
E_tot (eV per atom): -4.54
E_form (eV/f.u.): -1.811
Magnetization (μB/atom): 0.000

a b c (Å): 5.4269 5.4269 5.4269
angles (deg): 60.00 60.00 60.00
With the nearest neighbours (Å) after each atom.
Sites, in units of the cell vectors:
1 Pr 0.5000 0.5000 0.5000  4 Ge 3.32, 4 Ag 3.32
2 Ge 0.2500 0.2500 0.2500  4 Ac 3.32, 4 Pr 3.32
3 Ag 0.7500 0.7500 0.7500  4 Ac 3.32, 4 Pr 3.32
4 Ac 0.0000 0.0000 0.0000  4 Ge 3.32, 4 Ag 3.32

---

# 2
Entry from the Alexandria database: a geometry-optimized Ac2AgGe4Pt3 structure (GGA-PBE).

Calculated volume (Å³ per cell): 210.2
E_tot (eV per atom): -5.59
E_form (eV/f.u.): -8.287
Magnetization (μB/atom): 0.000

a b c (Å): 4.5175 4.5175 10.2995
angles (deg): 90.00 90.00 90.00
With the nearest neighbours (Å) after each atom.
Sites, in units of the cell vectors:
1 Pt 0.5000 0.0000 0.8813  5 Ge 2.54-2.57
2 Ge 0.5000 0.5000 0.0000  4 Pt 2.57
3 Ge 0.0000 0.5000 0.3649  3 Pt 2.54-2.65, 2 Ag 2.65
4 Ac 0.0000 0.5000 0.7517  8 Ge 3.41, 7 Pt 3.44-3.78, 2 Ag 3.44
5 Ag 0.5000 0.5000 0.5000  4 Ge 2.65
6 Ge 0.0000 0.0000 0.0000  4 Pt 2.57
7 Ac 0.5000 0.0000 0.2483  8 Ge 3.41, 7 Pt 3.44-3.78, 2 Ag 3.44
8 Pt 0.0000 0.0000 0.5000  4 Ge 2.65
9 Pt 0.0000 0.5000 0.1187  5 Ge 2.54-2.57
10 Ge 0.5000 0.0000 0.6351  3 Pt 2.54-2.65, 2 Ag 2.65

---

# 3
Entry from the Alexandria database: a geometry-optimized Ac2AgGePt6 structure (GGA-PBE).

Calculated volume (Å³ per cell): 220.0
E_tot (eV per atom): -5.95
E_form (eV/f.u.): -7.526
Magnetization (μB/atom): 0.000

a b c (Å): 6.7095 7.0611 7.0627
angles (deg): 46.27 79.14 97.85
With the nearest neighbours (Å) after each atom.
Sites, in units of the cell vectors:
1 Ag 0.5000 0.5000 0.0000  6 Pt 2.71-2.72
2 Pt 0.4055 0.2503 0.8440  1 Ge 2.57, 1 Ag 2.71, 4 Pt 2.75-2.77
3 Ac 0.7749 0.2369 0.4625  7 Pt 3.16-3.37, 2 Ag 3.51
4 Ge 0.0000 0.0000 0.0000  6 Pt 2.48-2.57
5 Pt 0.2344 0.7463 0.0248  1 Ge 2.48, 3 Pt 2.71-2.77, 1 Ag 2.72
6 Pt 0.2344 0.2580 0.5125  1 Ge 2.48, 3 Pt 2.71-2.77, 1 Ag 2.72
7 Ac 0.2252 0.7631 0.5375  7 Pt 3.16-3.37, 2 Ag 3.51
8 Pt 0.7656 0.7420 0.4875  1 Ge 2.48, 3 Pt 2.71-2.77, 1 Ag 2.72
9 Pt 0.7656 0.2537 0.9752  1 Ge 2.48, 3 Pt 2.71-2.77, 1 Ag 2.72
10 Pt 0.5945 0.7497 0.1560  1 Ge 2.57, 1 Ag 2.71, 4 Pt 2.75-2.77